Compound: LaPmSe2I2
Source: OQMD via LeMat-Bulk
Functional: PBE
Structure: optimized geometry

Properties
SG   P4mm, No. 99
V   33.052 Å³/atom
Uncorrected energy   -4.957 eV per atom

abc: 5.027 5.027 7.847
angles: 90.00 90.00 90.00
Atoms (fractional coordinates):
La1 0.000 0.000 0.000
Pm1 0.500 0.500 0.607
Se1 0.000 0.500 0.797
Se2 0.500 0.000 0.797
I1 0.000 0.000 0.420
I2 0.500 0.500 0.189